The following is a PBE-GGA calculation of crystalline ZnCo2MoH at its relaxed geometry, from Alexandria.

## Properties
**Density of states at the Fermi level**: 5.41 states/eV per cell
**Mass density**: 8.70 Mg/m³
**Crystal system**: tetragonal
**Calculated total energy**: -5.781 eV/atom

```
data_ZnCo2MoH
_space_group_name_H-M_alt 'P 4/m m m'
_space_group_IT_number 123
_space_group_name_Hall '-P 4 2'
_cell_length_a 3.723
_cell_length_b 3.723
_cell_length_c 3.860
_cell_angle_alpha 90.00
_cell_angle_beta 90.00
_cell_angle_gamma 90.00
loop_
_atom_site_label
_atom_site_fract_x
_atom_site_fract_y
_atom_site_fract_z
Zn1 0.000 0.000 0.000
Co1 0.000 0.500 0.500
Mo1 0.500 0.500 0.000
H1 0.500 0.500 0.500
```